## Rb2PaB2S6 (PBE)

Data for a relaxed Rb2PaB2S6 crystal.

Unit cell a=11.7473 b=6.7796 c=8.3774 alpha=90.00 beta=118.09 gamma=90.00
With the nearest neighbours (Å) after each atom.
Space group C2/m (No. 12)
Inequivalent atoms, fractional coordinates:
Rb1 0.2057 0.0000 0.1793 [4 per cell]  9 S 3.39-3.66
Pa1 0.0000 0.0000 0.5000 [2 per cell]  6 S 2.67-2.74
B1 0.0718 0.5000 0.2912 [4 per cell]  3 S 1.82-1.83
S1 0.0192 0.2698 0.7555 [8 per cell]  1 B 1.83
S2 0.2431 0.5000 0.3582 [4 per cell]  1 B 1.82

Properties
Energy: -120.45 eV per cell
DOS(E_F): 8.619 states/eV per cell
Size of the total moment: 1.02 μB/f.u.
ΔE_f (raw): -0.971 eV per atom